Computed, not measured: crystalline LiCrTeO6 at its relaxed geometry at the GGA+U level of DFT.

It has space group P4_2nm (No. 102), with a = 4.5888 Å, b = 4.5888 Å, c = 9.0067 Å, α = 90.00°, β = 90.00° and γ = 90.00°. The inequivalent atoms are Li at (0.0000, 0.0000, 0.0000), Cr at (0.0000, 0.0000, 0.6686), Te at (0.0000, 0.0000, 0.3358), O at (0.1876, 0.1876, 0.5097), O at (0.2033, 0.2033, 0.8297) and O at (0.2103, 0.2103, 0.1798).

The density of states at the Fermi level is 0.11 states/eV per atom. Its total DFT energy (no corrections) is -5.906 eV/atom. The value obtained for the total moment is 1.99 μB per cell.